# CeCF | Alexandria via LeMat-Bulk | PBE | optimized geometry
data_CeCF
_chemical_formula_sum 'Ce1 C1 F1'
_symmetry_space_group_name_H-M 'P 1'
_symmetry_Int_Tables_number 1
_symmetry_space_group_name_Hall 'P 1'
_cell_length_a 3.763
_cell_length_b 3.763
_cell_length_c 4.249
_cell_angle_alpha 90.00
_cell_angle_beta 90.00
_cell_angle_gamma 120.00
loop_
_atom_site_label
_atom_site_type_symbol
_atom_site_fract_x
_atom_site_fract_y
_atom_site_fract_z
Ce1 Ce 0.000 0.000 0.000
C1 C 0.333 0.667 0.802
F1 F 0.667 0.333 0.257
# - Calculated volume: 52.1 Å³/f.u.
# - Density of states at the Fermi level: 3.0 states/eV per cell
# - Energy relative to the lowest polymorph listed for this composition: 1022 meV/atom
# - Symmetry: No. 156
# - E_form (uncorrected): -920 meV/atom